PAuSe2 | meta-GGA SCAN | PBEsol geometry

Cell and atoms, written as extended XYZ:
```
4
Lattice="3.224 0.000 0.000 0.000 3.224 0.000 0.000 0.000 6.791" Properties=species:S:1:pos:R:3 pbc="T T T"
P 0.000 0.000 0.000
Au 0.000 0.000 3.396
Se 1.612 1.612 1.574
Se 1.612 1.612 5.217
```

Computed properties:
symmetry: No. 123
DFT total energy: -29.217 eV per atom
formation energy without anion corrections: 2.846 eV/f.u.